Record 1
Compound: Be4Cu
Source: Alexandria
Functional: SCAN
Structure: single point on PBEsol structure

Values from the calculation:
The formation energy comes out at -0.0677 eV/atom. The value obtained for the calculated volume is 8.54 Å³ per atom. The total moment comes out at 0.010 μB/cell. Its density of states at the Fermi level is 0.1784 states/eV/atom.

```
Be4Cu
1.0
-2.5815 2.5815 1.6013
2.5815 -2.5815 1.6013
2.5815 2.5815 -1.6013
Be Cu
4 1
direct
0.0971 0.6958 0.7928
0.3042 0.0971 0.4013
0.6958 0.9029 0.5987
0.9029 0.3042 0.2072
0.5000 0.5000 0.0000
```

---

Record 2
Compound: ReTcPt2
Source: Alexandria
Functional: SCAN
Structure: single point on PBEsol structure

Values from the calculation:
The value obtained for the polymorph energy (0 for the lowest one) is 0.000 eV/atom. The formation energy comes out at -0.1713 eV/atom. The value obtained for the calculated volume is 14.45 Å³ per atom. The total moment comes out at 0.000 μB/cell. Its density of states at the Fermi level is 0.8279 states/eV/atom.

```
ReTcPt2
1.0
2.7228 0.0000 0.0000
0.0000 4.4071 0.0000
0.0000 0.0000 4.8180
Re Tc Pt
1 1 2
direct
0.0000 0.0000 0.0000
0.0000 0.5000 0.6909
0.5000 0.0000 0.5078
0.5000 0.5000 0.1836
```

---

Record 3
Compound: MnTl2FeBr
Source: Alexandria
Functional: SCAN
Structure: single point on PBEsol structure

Values from the calculation:
For the formation energy (no corrections), the calculation gives 264 meV per atom. The value obtained for the calculated volume is 22.81 Å³ per atom. The total moment comes out at 3.538 μB/cell. Its density of states at the Fermi level is 0.4807 states/eV/atom.

```
MnTl2FeBr
1.0
5.1403 0.0000 0.0000
0.0000 5.1403 0.0000
0.0000 0.0000 4.3156
Mn Tl Fe Br
1 2 1 1
direct
0.0000 0.0000 0.0000
0.0000 0.5000 0.5000
0.5000 0.0000 0.5000
0.0000 0.0000 0.5000
0.5000 0.5000 0.0000
```

---

Question: Among the records above, which one has the lowest calculated volume?
Answer: Be4Cu